1.
{"formula": "BeH2IrPb", "functional": "PBE", "state": "optimized geometry", "vol_a3_per_cell": 69.6, "total_energy_ev_per_atom": -3.98, "cell": [[-2.072, 0.517, 2.861], [3.724, -2.466, 3.143], [1.589, 3.143, 0.583]], "species": ["Ir", "Be", "H", "H", "Pb"], "fractional_positions": [[0.000, 0.000, 0.000], [0.500, 0.500, 0.500], [0.500, 0.000, 0.000], [0.000, 0.000, 0.500], [0.000, 0.500, 0.000]]}

***

2.
{"formula": "Be2HIrPd", "functional": "PBE", "state": "optimized geometry", "vol_a3_per_cell": 50.0, "total_energy_ev_per_atom": -5.19, "cell": [[3.890, 0.000, 0.000], [0.000, 3.890, 0.000], [0.000, 0.000, 3.302]], "species": ["Pd", "Be", "Be", "H", "Ir"], "fractional_positions": [[0.500, 0.500, 0.500], [0.500, 0.000, 0.000], [0.000, 0.500, 0.000], [0.000, 0.000, 0.000], [0.000, 0.000, 0.500]]}